Computed, not measured: an optimized crystal structure of Pt3Rh5 at the GGA-PBE level of DFT.

POSCAR file:
```
Pt3Rh5
1.0
7.641 0.000 0.000
-3.821 6.617 0.000
0.000 0.000 4.907
Pt Rh
6 10
direct
0.000 0.397 0.250
0.000 0.603 0.750
0.397 0.000 0.250
0.397 0.397 0.750
0.603 0.000 0.750
0.603 0.603 0.250
0.000 0.210 0.750
0.000 0.790 0.250
0.210 0.000 0.750
0.210 0.210 0.250
0.333 0.667 0.000
0.333 0.667 0.500
0.667 0.333 0.000
0.667 0.333 0.500
0.790 0.000 0.250
0.790 0.790 0.750
```

- DFT total energy: -0.485 Ry/atom
- Energy relative to the lowest polymorph listed for this composition: 0.286 eV per atom
- Mass density: 14.72 g/cm3
- Energy relative to the elements: 267.1 meV/atom
- N(E_F): 26.58 states/eV per cell